(1)
Density functional theory data (PBE) for crystalline Pu3Si7Mo at its relaxed geometry.

Values from the calculation:
The value obtained for the uncorrected formation energy is -0.35 eV/atom. The density of states at the Fermi level comes out at 2.02 states/eV/atom. The value obtained for the density is 8.544 g/cm3.

abc: 9.5012 9.5012 11.2333
angles: 90.00 90.00 156.88
With the nearest neighbours (Å) after each atom.
Positions (direct):
Pu  0.1085  0.8915  0.5470  11 Si 2.90-3.21
Pu  0.1085  0.8915  0.9530  11 Si 2.90-3.21
Pu  0.2425  0.7575  0.2500  9 Si 2.98-3.10
Pu  0.7575  0.2425  0.7500  9 Si 2.98-3.10
Pu  0.8915  0.1085  0.0470  11 Si 2.90-3.21
Pu  0.8915  0.1085  0.4530  11 Si 2.90-3.21
Si  0.2687  0.7313  0.5469  3 Si 2.27-2.28
Si  0.2687  0.7313  0.9531  3 Si 2.27-2.28
Si  0.3737  0.6263  0.6488  3 Si 2.27-2.33
Si  0.3737  0.6263  0.8512  3 Si 2.27-2.33
Si  0.4052  0.5948  0.2500  2 Si 2.46
Si  0.4963  0.5037  0.6045  3 Si 2.33-2.46
Si  0.4963  0.5037  0.8955  3 Si 2.33-2.46
Si  0.5037  0.4963  0.1045  3 Si 2.33-2.46
Si  0.5037  0.4963  0.3955  3 Si 2.33-2.46
Si  0.5948  0.4052  0.7500  2 Si 2.46
Si  0.6263  0.3737  0.1488  3 Si 2.27-2.33
Si  0.6263  0.3737  0.3512  3 Si 2.27-2.33
Si  0.7313  0.2687  0.0469  3 Si 2.27-2.28
Si  0.7313  0.2687  0.4531  3 Si 2.27-2.28
Mo  0.0435  0.9565  0.2500  8 Si 2.62-2.70
Mo  0.9565  0.0435  0.7500  8 Si 2.62-2.70



(2)
Density functional theory data (PBE) for crystalline PuSi2TcMo at its relaxed geometry.

Values from the calculation:
The value obtained for the uncorrected formation energy is -0.40 eV/atom. The density of states at the Fermi level comes out at 2.21 states/eV/atom. The value obtained for the density is 9.494 g/cm3.

abc: 3.9645 3.9645 10.9973
angles: 90.00 90.00 90.00
With the nearest neighbours (Å) after each atom.
Positions (direct):
Pu  0.0000  0.0000  0.0000  8 Si 3.05, 4 Mo 3.39, 4 Tc 3.39
Pu  0.5000  0.5000  0.5000  8 Si 3.05, 4 Mo 3.39, 4 Tc 3.39
Si  0.0000  0.0000  0.3905  1 Si 2.41, 2 Mo 2.51, 2 Tc 2.51
Si  0.0000  0.0000  0.6095  1 Si 2.41, 2 Mo 2.51, 2 Tc 2.51
Si  0.5000  0.5000  0.1095  1 Si 2.41, 2 Mo 2.51, 2 Tc 2.51
Si  0.5000  0.5000  0.8905  1 Si 2.41, 2 Mo 2.51, 2 Tc 2.51
Tc  0.0000  0.5000  0.7500  4 Si 2.51, 4 Mo 2.80
Tc  0.5000  0.0000  0.2500  4 Si 2.51, 4 Mo 2.80
Mo  0.0000  0.5000  0.2500  4 Si 2.51, 4 Tc 2.80
Mo  0.5000  0.0000  0.7500  4 Si 2.51, 4 Tc 2.80



(3)
Density functional theory data (PBE) for crystalline Pu2SnMo at its relaxed geometry.

Values from the calculation:
The density of states at the Fermi level comes out at 2.13 states/eV/atom. The value obtained for the density is 13.389 g/cm3. The value obtained for the total energy is -43.5 eV for the cell shown.

abc: 4.3774 4.3774 4.5480
angles: 90.00 90.00 90.00
With the nearest neighbours (Å) after each atom.
Positions (direct):
Pu  0.0000  0.5000  0.0000  4 Pu 3.10, 4 Mo 3.16, 4 Sn 3.16
Pu  0.5000  0.0000  0.0000  4 Pu 3.10, 4 Mo 3.16, 4 Sn 3.16
Sn  0.0000  0.0000  0.5000  4 Mo 3.10, 8 Pu 3.16
Mo  0.5000  0.5000  0.5000  4 Sn 3.10, 8 Pu 3.16



(4)
Density functional theory data (PBE) for crystalline PuSn2Mo at its relaxed geometry.

Values from the calculation:
The density of states at the Fermi level comes out at 2.19 states/eV/atom. The value obtained for the density is 10.037 g/cm3. The value obtained for the total energy is -95.6 eV for the cell shown.

abc: 3.1985 3.1985 32.3452
angles: 90.00 90.00 120.00
With the nearest neighbours (Å) after each atom.
Positions (direct):
Pu  0.0000  0.0000  0.0000  6 Pu 3.20, 2 Sn 3.21
Pu  0.3333  0.6667  0.6667  6 Pu 3.20, 2 Sn 3.21
Pu  0.6667  0.3333  0.3333  6 Pu 3.20, 2 Sn 3.21
Sn  0.0000  0.0000  0.0993  3 Mo 2.86, 6 Sn 3.20
Sn  0.0000  0.0000  0.9007  3 Mo 2.86, 6 Sn 3.20
Sn  0.3333  0.6667  0.5674  3 Mo 2.86, 6 Sn 3.20
Sn  0.3333  0.6667  0.7660  3 Mo 2.86, 6 Sn 3.20
Sn  0.6667  0.3333  0.2340  3 Mo 2.86, 6 Sn 3.20
Sn  0.6667  0.3333  0.4326  3 Mo 2.86, 6 Sn 3.20
Mo  0.0000  0.0000  0.5000  6 Sn 2.86, 6 Mo 3.20
Mo  0.3333  0.6667  0.1667  6 Sn 2.86, 6 Mo 3.20
Mo  0.6667  0.3333  0.8333  6 Sn 2.86, 6 Mo 3.20



(5)
Density functional theory data (PBE) for crystalline PuSnMo at its relaxed geometry.

Values from the calculation:
The density of states at the Fermi level comes out at 2.35 states/eV/atom. The value obtained for the density is 11.704 g/cm3. The value obtained for the total energy is -113.7 eV for the cell shown.

abc: 14.2942 3.2702 5.5685
angles: 90.00 90.00 90.00
With the nearest neighbours (Å) after each atom.
Positions (direct):
Pu  0.1572  0.0000  0.0000  1 Mo 2.64
Pu  0.1572  0.5000  0.5000  1 Mo 2.64
Pu  0.8428  0.0000  0.0000  1 Mo 2.64
Pu  0.8428  0.5000  0.5000  1 Mo 2.64
Sn  0.3506  0.0000  0.3491  3 Mo 2.84
Sn  0.3506  0.5000  0.8491  3 Mo 2.84
Sn  0.6494  0.0000  0.3491  3 Mo 2.84
Sn  0.6494  0.5000  0.8491  3 Mo 2.84
Mo  0.0000  0.0000  0.2474  2 Pu 2.64
Mo  0.0000  0.5000  0.7474  2 Pu 2.64
Mo  0.5000  0.0000  0.0144  6 Sn 2.84
Mo  0.5000  0.5000  0.5144  6 Sn 2.84



(6)
Density functional theory data (PBE) for crystalline PuTaTiMo at its relaxed geometry.

Values from the calculation:
The density of states at the Fermi level comes out at 2.18 states/eV/atom. The value obtained for the density is 13.068 g/cm3. The value obtained for the total energy is -176.5 eV for the cell shown.

abc: 6.6122 6.6122 6.6122
angles: 90.00 90.00 90.00
With the nearest neighbours (Å) after each atom.
Positions (direct):
Pu  0.0000  0.0000  0.0000  4 Ta 2.86, 4 Ti 2.86
Pu  0.0000  0.5000  0.5000  4 Ta 2.86, 4 Ti 2.86
Pu  0.5000  0.0000  0.5000  4 Ta 2.86, 4 Ti 2.86
Pu  0.5000  0.5000  0.0000  4 Ta 2.86, 4 Ti 2.86
Ta  0.2500  0.2500  0.2500  4 Mo 2.86, 4 Pu 2.86
Ta  0.2500  0.7500  0.7500  4 Mo 2.86, 4 Pu 2.86
Ta  0.7500  0.2500  0.7500  4 Mo 2.86, 4 Pu 2.86
Ta  0.7500  0.7500  0.2500  4 Mo 2.86, 4 Pu 2.86
Ti  0.2500  0.2500  0.7500  4 Mo 2.86, 4 Pu 2.86
Ti  0.2500  0.7500  0.2500  4 Mo 2.86, 4 Pu 2.86
Ti  0.7500  0.2500  0.2500  4 Mo 2.86, 4 Pu 2.86
Ti  0.7500  0.7500  0.7500  4 Mo 2.86, 4 Pu 2.86
Mo  0.0000  0.0000  0.5000  4 Ta 2.86, 4 Ti 2.86
Mo  0.0000  0.5000  0.0000  4 Ta 2.86, 4 Ti 2.86
Mo  0.5000  0.0000  0.0000  4 Ta 2.86, 4 Ti 2.86
Mo  0.5000  0.5000  0.5000  4 Ta 2.86, 4 Ti 2.86



(7)
Density functional theory data (PBE) for crystalline TbPuMo at its relaxed geometry.

Values from the calculation:
The density of states at the Fermi level comes out at 1.34 states/eV/atom. The value obtained for the density is 12.556 g/cm3. The value obtained for the total energy is -115.1 eV for the cell shown.

abc: 9.3456 5.2737 5.7964
angles: 90.00 112.52 90.00
With the nearest neighbours (Å) after each atom.
Positions (direct):
Tb  0.1260  0.0000  0.3279  3 Pu 2.99-3.29, 3 Mo 3.08-3.25
Tb  0.3740  0.5000  0.6721  3 Pu 2.99-3.29, 3 Mo 3.08-3.25
Tb  0.6260  0.5000  0.3279  3 Pu 2.99-3.29, 3 Mo 3.08-3.25
Tb  0.8740  0.0000  0.6721  3 Pu 2.99-3.29, 3 Mo 3.08-3.25
Pu  0.0349  0.5000  0.7208  1 Mo 2.33, 1 Pu 2.39
Pu  0.4651  0.0000  0.2792  1 Mo 2.33, 1 Pu 2.39
Pu  0.5349  0.0000  0.7208  1 Mo 2.33, 1 Pu 2.39
Pu  0.9651  0.5000  0.2792  1 Mo 2.33, 1 Pu 2.39
Mo  0.2501  0.0000  0.9027  1 Pu 2.33
Mo  0.2499  0.5000  0.0973  1 Pu 2.33
Mo  0.7499  0.0000  0.0973  1 Pu 2.33
Mo  0.7501  0.5000  0.9027  1 Pu 2.33



(8)
Density functional theory data (PBE) for crystalline TbPuMo4 at its relaxed geometry.

Values from the calculation:
The density of states at the Fermi level comes out at 2.44 states/eV/atom. The value obtained for the density is 11.130 g/cm3. The value obtained for the total energy is -60.9 eV for the cell shown.

abc: 5.4956 5.4956 5.4956
angles: 60.00 60.00 60.00
With the nearest neighbours (Å) after each atom.
Positions (direct):
Tb  0.0000  0.0000  0.0000  12 Mo 3.22, 4 Pu 3.37
Pu  0.2500  0.2500  0.2500  12 Mo 3.22, 4 Tb 3.37
Mo  0.1254  0.6249  0.6249  6 Mo 2.74-2.75
Mo  0.6249  0.1254  0.6249  6 Mo 2.74-2.75
Mo  0.6249  0.6249  0.1254  6 Mo 2.74-2.75
Mo  0.6249  0.6249  0.6249  6 Mo 2.74-2.75



(9)
Density functional theory data (PBE) for crystalline TbPu2Mo at its relaxed geometry.

Values from the calculation:
The density of states at the Fermi level comes out at 3.19 states/eV/atom. The value obtained for the density is 12.401 g/cm3. The value obtained for the total energy is -126.8 eV for the cell shown.

abc: 3.2620 3.2620 32.3842
angles: 90.00 90.00 120.00
With the nearest neighbours (Å) after each atom.
Positions (direct):
Tb  0.0000  0.0000  0.0000  2 Pu 3.20, 6 Tb 3.26
Tb  0.3333  0.6667  0.6667  2 Pu 3.20, 6 Tb 3.26
Tb  0.6667  0.3333  0.3333  2 Pu 3.20, 6 Tb 3.26
Pu  0.0000  0.0000  0.0988  3 Mo 2.89, 1 Tb 3.20
Pu  0.0000  0.0000  0.9012  3 Mo 2.89, 1 Tb 3.20
Pu  0.3333  0.6667  0.5678  3 Mo 2.89, 1 Tb 3.20
Pu  0.3333  0.6667  0.7655  3 Mo 2.89, 1 Tb 3.20
Pu  0.6667  0.3333  0.2345  3 Mo 2.89, 1 Tb 3.20
Pu  0.6667  0.3333  0.4322  3 Mo 2.89, 1 Tb 3.20
Mo  0.0000  0.0000  0.5000  6 Pu 2.89
Mo  0.3333  0.6667  0.1667  6 Pu 2.89
Mo  0.6667  0.3333  0.8333  6 Pu 2.89



(10)
Density functional theory data (PBE) for crystalline PuTcMo at its relaxed geometry.

Values from the calculation:
The density of states at the Fermi level comes out at 2.11 states/eV/atom. The value obtained for the density is 13.246 g/cm3. The polymorph energy (0 for the lowest one) is 0.000 eV/atom.

abc: 3.1146 3.1146 11.3189
angles: 90.00 90.00 90.00
With the nearest neighbours (Å) after each atom.
Positions (direct):
Pu  0.0000  0.0000  0.0000  4 Tc 3.05, 4 Mo 3.07, 4 Pu 3.11
Pu  0.5000  0.5000  0.5000  4 Tc 3.05, 4 Mo 3.07, 4 Pu 3.11
Tc  0.0000  0.0000  0.6865  4 Mo 2.61
Tc  0.5000  0.5000  0.1865  4 Mo 2.61
Mo  0.0000  0.0000  0.3106  4 Tc 2.61
Mo  0.5000  0.5000  0.8106  4 Tc 2.61



Calculated magnetization (Bohr magnetons per cell), listed in the same order as above: 10.13; 10.73; 8.92; 17.70; 20.37; 17.55; 10.18; 4.90; 31.60; 9.82